First-principles (GGA-PBE) data for a geometry-optimized HfPd structure, as listed in Alexandria via LeMat-Bulk.

Cell lengths 3.327, 3.327, 3.327 Å; angles 90.00, 90.00, 90.00 degrees
Positions (direct):
Hf 0.000 0.000 0.000
Pd 0.500 0.500 0.500

Calculated values
The magnetic moment comes out at 0.00 μB/cell. Its volume is 36.81 Å³/f.u. Its energy of formation from the pure elements is -60.7 kJ/mol of atoms.

---

First-principles (GGA-PBE) data for a geometry-optimized HfPd structure, as listed in Alexandria via LeMat-Bulk.

Cell lengths 10.354, 10.354, 2.944 Å; angles 90.00, 90.00, 90.00 degrees
Positions (direct):
Hf 0.379 0.319 0.000
Hf 0.819 0.121 0.500
Pd 0.412 0.857 0.000
Pd 0.857 0.588 0.000
Hf 0.121 0.181 0.500
Pd 0.588 0.143 0.000
Pd 0.643 0.912 0.500
Pd 0.143 0.412 0.000
Hf 0.621 0.681 0.000
Hf 0.181 0.879 0.500
Pd 0.088 0.643 0.500
Hf 0.681 0.379 0.000
Pd 0.912 0.357 0.500
Hf 0.319 0.621 0.000
Pd 0.357 0.088 0.500
Hf 0.879 0.819 0.500

Calculated values
The magnetic moment comes out at 0.00 μB/cell. Its volume is 39.45 Å³/f.u. Its energy of formation from the pure elements is -17.5 kJ/mol of atoms.

---

First-principles (GGA-PBE) data for a geometry-optimized HfPd7 structure, as listed in Alexandria via LeMat-Bulk.

Cell lengths 3.983, 3.983, 8.458 Å; angles 103.62, 103.62, 90.00 degrees
Positions (direct):
Pd 0.749 0.749 0.497
Pd 0.123 0.623 0.247
Pd 0.251 0.251 0.503
Pd 0.877 0.377 0.753
Hf 0.000 0.000 0.000
Pd 0.500 0.500 0.000
Pd 0.377 0.877 0.753
Pd 0.623 0.123 0.247

Calculated values
The magnetic moment comes out at 0.00 μB/cell. Its volume is 126.55 Å³/f.u. Its energy of formation from the pure elements is -46.4 kJ/mol of atoms.

---

First-principles (GGA-PBE) data for a geometry-optimized Hf3Pd7 structure, as listed in Alexandria via LeMat-Bulk.

Cell lengths 4.033, 5.714, 7.677 Å; angles 102.47, 105.23, 90.00 degrees
Positions (direct):
Hf 0.809 0.373 0.618
Hf 0.000 0.000 0.000
Pd 0.200 0.122 0.401
Pd 0.399 0.691 0.797
Hf 0.191 0.627 0.382
Pd 0.596 0.806 0.193
Pd 0.000 0.500 0.000
Pd 0.404 0.194 0.807
Pd 0.601 0.309 0.203
Pd 0.800 0.878 0.599

Calculated values
The magnetic moment comes out at 0.00 μB/cell. Its volume is 166.39 Å³/f.u. Its energy of formation from the pure elements is -76.7 kJ/mol of atoms.

---

First-principles (GGA-PBE) data for a geometry-optimized HfPd4 structure, as listed in Alexandria via LeMat-Bulk.

Cell lengths 4.808, 4.808, 4.808 Å; angles 90.00, 90.00, 90.00 degrees
Positions (direct):
Pd 0.500 0.000 0.500
Pd 0.500 0.500 0.000
Pd 0.000 0.500 0.500
Hf 0.500 0.500 0.500
Pd 0.000 0.000 0.000

Calculated values
The magnetic moment comes out at 0.00 μB/cell. Its volume is 111.13 Å³/f.u. Its energy of formation from the pure elements is 63.0 kJ/mol of atoms.

---

First-principles (GGA-PBE) data for a geometry-optimized PmHfPd2 structure, as listed in Alexandria via LeMat-Bulk.

Cell lengths 4.612, 4.612, 5.479 Å; angles 65.11, 65.11, 60.00 degrees
Positions (direct):
Pd 0.286 0.286 0.142
Pd 0.714 0.714 0.858
Pm 0.500 0.500 0.500
Hf 0.000 0.000 0.000

Calculated values
The magnetic moment comes out at 0.00 μB/cell. For the energy relative to the lowest polymorph listed for this composition, the calculation gives 42 meV/atom. Its volume is 88.21 Å³/f.u. Its energy of formation from the pure elements is -63.7 kJ/mol of atoms.

---

First-principles (GGA-PBE) data for a geometry-optimized PmHfPd2 structure, as listed in Alexandria via LeMat-Bulk.

Cell lengths 4.889, 4.889, 4.889 Å; angles 60.00, 60.00, 60.00 degrees
Positions (direct):
Pm 0.500 0.500 0.500
Pd 0.750 0.750 0.750
Hf 0.000 0.000 0.000
Pd 0.250 0.250 0.250

Calculated values
The magnetic moment comes out at 0.00 μB/cell. For the energy relative to the lowest polymorph listed for this composition, the calculation gives 119 meV/atom. Its volume is 82.61 Å³/f.u. Its energy of formation from the pure elements is -56.3 kJ/mol of atoms.

---

First-principles (GGA-PBE) data for a geometry-optimized PmHfPd2 structure, as listed in Alexandria via LeMat-Bulk.

Cell lengths 3.342, 3.342, 7.449 Å; angles 90.00, 90.00, 90.00 degrees
Positions (direct):
Pd 0.000 0.000 0.203
Pm 0.500 0.500 0.500
Pd 0.000 0.000 0.797
Hf 0.500 0.500 0.000

Calculated values
The magnetic moment comes out at 0.00 μB/cell. For the energy relative to the lowest polymorph listed for this composition, the calculation gives 0 meV/atom. Its volume is 83.19 Å³/f.u. Its energy of formation from the pure elements is -67.8 kJ/mol of atoms.

---

First-principles (GGA-PBE) data for a geometry-optimized PmHfPd6 structure, as listed in Alexandria via LeMat-Bulk.

Cell lengths 4.095, 4.095, 8.196 Å; angles 90.00, 90.00, 90.00 degrees
Positions (direct):
Pd 0.500 0.500 0.500
Pd 0.500 0.000 0.265
Hf 0.000 0.000 0.500
Pd 0.500 0.500 0.000
Pd 0.500 0.000 0.735
Pd 0.000 0.500 0.265
Pm 0.000 0.000 0.000
Pd 0.000 0.500 0.735

Calculated values
The magnetic moment comes out at 0.00 μB/cell. Its volume is 137.42 Å³/f.u. Its energy of formation from the pure elements is -82.2 kJ/mol of atoms.

---

First-principles (GGA-PBE) data for a geometry-optimized PmHfPdRu structure, as listed in Alexandria via LeMat-Bulk.

Cell lengths 4.822, 4.822, 4.822 Å; angles 60.00, 60.00, 60.00 degrees
Positions (direct):
Ru 0.000 0.000 0.000
Pm 0.750 0.750 0.750
Pd 0.500 0.500 0.500
Hf 0.250 0.250 0.250

Calculated values
The magnetic moment comes out at 0.00 μB/cell. Its volume is 79.27 Å³/f.u. Its energy of formation from the pure elements is -46.5 kJ/mol of atoms.

---

First-principles (GGA-PBE) data for a geometry-optimized PmHfSnPd structure, as listed in Alexandria via LeMat-Bulk.

Cell lengths 5.066, 5.066, 5.066 Å; angles 60.00, 60.00, 60.00 degrees
Site moments in Bohr magnetons follow the coordinates.
Positions (direct):
Pm 0.500 0.500 0.500  0.17
Pd 0.750 0.750 0.750  0.11
Hf 0.000 0.000 0.000  0.41
Sn 0.250 0.250 0.250  -0.01

Calculated values
The magnetic moment comes out at 1.03 μB/cell. Its volume is 91.92 Å³/f.u. Its energy of formation from the pure elements is -40.7 kJ/mol of atoms.

---

First-principles (GGA-PBE) data for a geometry-optimized PmHfTcPd structure, as listed in Alexandria via LeMat-Bulk.

Cell lengths 4.820, 4.820, 4.820 Å; angles 60.00, 60.00, 60.00 degrees
Positions (direct):
Hf 0.750 0.750 0.750
Tc 0.000 0.000 0.000
Pd 0.500 0.500 0.500
Pm 0.250 0.250 0.250

Calculated values
The magnetic moment comes out at 0.00 μB/cell. Its volume is 79.17 Å³/f.u. Its energy of formation from the pure elements is -33.6 kJ/mol of atoms.

---

First-principles (GGA-PBE) data for a geometry-optimized PmHfZnPd structure, as listed in Alexandria via LeMat-Bulk.

Cell lengths 4.913, 4.913, 4.913 Å; angles 60.00, 60.00, 60.00 degrees
Positions (direct):
Pd 0.000 0.000 0.000
Hf 0.750 0.750 0.750
Zn 0.500 0.500 0.500
Pm 0.250 0.250 0.250

Calculated values
The magnetic moment comes out at 0.00 μB/cell. Its volume is 83.85 Å³/f.u. Its energy of formation from the pure elements is -30.5 kJ/mol of atoms.

---

First-principles (GGA-PBE) data for a geometry-optimized Pr2HfPd structure, as listed in Alexandria via LeMat-Bulk.

Cell lengths 3.301, 3.301, 11.263 Å; angles 81.57, 81.57, 60.00 degrees
Positions (direct):
Pr 0.905 0.905 0.285
Hf 0.000 0.000 0.000
Pr 0.095 0.095 0.715
Pd 0.500 0.500 0.500

Calculated values
The magnetic moment comes out at 0.00 μB/cell. Its volume is 104.74 Å³/f.u. Its energy of formation from the pure elements is 21.0 kJ/mol of atoms.

---

First-principles (GGA-PBE) data for a geometry-optimized Pr3HfPd12 structure, as listed in Alexandria via LeMat-Bulk.

Cell lengths 4.168, 4.168, 16.683 Å; angles 90.00, 90.00, 90.00 degrees
Positions (direct):
Pr 0.000 0.000 0.500
Pd 0.500 0.500 0.242
Pd 0.500 0.000 0.371
Pd 0.500 0.000 0.113
Pd 0.500 0.500 0.000
Pd 0.000 0.500 0.629
Pd 0.500 0.000 0.887
Hf 0.000 0.000 0.000
Pd 0.000 0.500 0.371
Pd 0.500 0.500 0.758
Pd 0.500 0.500 0.500
Pd 0.500 0.000 0.629
Pd 0.000 0.500 0.887
Pr 0.000 0.000 0.755
Pr 0.000 0.000 0.245
Pd 0.000 0.500 0.113

Calculated values
The magnetic moment comes out at 0.00 μB/cell. Its volume is 289.76 Å³/f.u. Its energy of formation from the pure elements is -75.1 kJ/mol of atoms.

---

First-principles (GGA-PBE) data for a geometry-optimized PrHf2Pd9 structure, as listed in Alexandria via LeMat-Bulk.

Cell lengths 4.080, 4.080, 12.246 Å; angles 90.00, 90.00, 90.00 degrees
Positions (direct):
Hf 0.000 0.000 0.664
Pd 0.000 0.500 0.500
Pd 0.500 0.000 0.819
Pd 0.500 0.500 0.000
Pd 0.500 0.500 0.340
Pd 0.500 0.000 0.181
Pr 0.000 0.000 0.000
Hf 0.000 0.000 0.336
Pd 0.000 0.500 0.181
Pd 0.000 0.500 0.819
Pd 0.500 0.000 0.500
Pd 0.500 0.500 0.660

Calculated values
The magnetic moment comes out at 0.00 μB/cell. Its volume is 203.82 Å³/f.u. Its energy of formation from the pure elements is -81.4 kJ/mol of atoms.

---

First-principles (GGA-PBE) data for a geometry-optimized PrHfPd structure, as listed in Alexandria via LeMat-Bulk.

Cell lengths 3.459, 3.459, 6.516 Å; angles 105.39, 105.39, 90.00 degrees
Positions (direct):
Pr 0.003 0.003 0.007
Pd 0.697 0.697 0.395
Hf 0.299 0.299 0.598

Calculated values
The magnetic moment comes out at 0.00 μB/cell. For the energy relative to the lowest polymorph listed for this composition, the calculation gives 0 meV/atom. Its volume is 72.27 Å³/f.u. Its energy of formation from the pure elements is -35.5 kJ/mol of atoms.

---

First-principles (GGA-PBE) data for a geometry-optimized PrHfPd structure, as listed in Alexandria via LeMat-Bulk.

Cell lengths 3.597, 3.590, 13.444 Å; angles 90.00, 90.00, 120.06 degrees
Positions (direct):
Hf 0.277 0.554 0.131
Pr 0.612 0.223 0.335
Pd 0.611 0.222 0.000
Hf 0.277 0.554 0.869
Pd 0.278 0.556 0.500
Pr 0.612 0.223 0.665

Calculated values
The magnetic moment comes out at 0.00 μB/cell. For the energy relative to the lowest polymorph listed for this composition, the calculation gives 223 meV/atom. Its volume is 75.14 Å³/f.u. Its energy of formation from the pure elements is -14.0 kJ/mol of atoms.

---

First-principles (GGA-PBE) data for a geometry-optimized HfPdPt6 structure, as listed in Alexandria via LeMat-Bulk.

Cell lengths 3.971, 5.670, 5.670 Å; angles 90.00, 90.00, 90.00 degrees
Positions (direct):
Pd 0.500 0.500 0.500
Pt 0.000 0.750 0.250
Hf 0.500 0.000 0.000
Pt 0.000 0.250 0.250
Pt 0.000 0.250 0.750
Pt 0.500 0.500 0.000
Pt 0.000 0.750 0.750
Pt 0.500 0.000 0.500

Calculated values
The magnetic moment comes out at 0.00 μB/cell. For the energy relative to the lowest polymorph listed for this composition, the calculation gives 0 meV/atom. Its volume is 127.67 Å³/f.u. Its energy of formation from the pure elements is -57.2 kJ/mol of atoms.

---

First-principles (GGA-PBE) data for a geometry-optimized HfPd5Pt structure, as listed in Alexandria via LeMat-Bulk.

Cell lengths 9.093, 5.058, 5.824 Å; angles 115.73, 141.31, 90.00 degrees
Positions (direct):
Pd 0.365 0.753 0.000
Pd 0.847 0.756 0.511
Pt 0.677 0.000 0.000
Pd 0.336 0.244 0.489
Pd 0.105 0.500 0.000
Pd 0.365 0.247 0.000
Hf 0.834 0.500 0.000

Calculated values
The magnetic moment comes out at 0.00 μB/cell. For the energy relative to the lowest polymorph listed for this composition, the calculation gives 172 meV/atom. Its volume is 120.43 Å³/f.u. Its energy of formation from the pure elements is -22.5 kJ/mol of atoms.